DFT (GGA-PBEsol) results for Hf2TlRu after structural relaxation.

For the formation energy, the calculation gives -0.070 eV/atom.

It has space group Fm-3m (No. 225), with a = 6.7113 Å, b = 6.7113 Å, c = 6.7113 Å, α = 90.00°, β = 90.00° and γ = 90.00°. The inequivalent atoms are Hf at (0.2500, 0.2500, 0.2500), Tl at (0.0000, 0.0000, 0.0000) and Ru at (0.0000, 0.0000, 0.5000).

---

DFT (GGA-PBEsol) results for Hf2V3Ru after structural relaxation.

For the formation energy, the calculation gives -0.297 eV/atom.

It has space group P6_3/mmc (No. 194), with a = 5.1698 Å, b = 5.1698 Å, c = 8.1363 Å, α = 90.00°, β = 90.00° and γ = 120.00°. The inequivalent atoms are Hf at (0.3333, 0.6667, 0.0604), V at (0.1700, 0.3400, 0.7500) and Ru at (0.0000, 0.0000, 0.0000).

---

DFT (GGA-PBEsol) results for YHf3Ru after structural relaxation.

For the formation energy, the calculation gives 0.190 eV/atom.

It has space group Pm-3m (No. 221), with a = 4.9579 Å, b = 4.9579 Å, c = 4.9579 Å, α = 90.00°, β = 90.00° and γ = 90.00°. The inequivalent atoms are Y at (0.0000, 0.0000, 0.0000), Hf at (0.0000, 0.5000, 0.5000) and Ru at (0.5000, 0.5000, 0.5000).

---

DFT (GGA-PBEsol) results for HfS2 after structural relaxation.

The formation energy without anion corrections is -1.5969 eV/atom.

It has space group P-3m1 (No. 164), with a = 3.5852 Å, b = 3.5852 Å, c = 5.8865 Å, α = 90.00°, β = 90.00° and γ = 120.00°. The inequivalent atoms are Hf at (0.0000, 0.0000, 0.0000) and S at (0.3333, 0.6667, 0.2460).

---

DFT (GGA-PBEsol) results for HfSbS3 after structural relaxation.

The formation energy without anion corrections is 0.4550 eV/atom.

It has space group Pm-3m (No. 221), with a = 4.8621 Å, b = 4.8621 Å, c = 4.8621 Å, α = 90.00°, β = 90.00° and γ = 90.00°. The inequivalent atoms are Hf at (0.0000, 0.0000, 0.0000), Sb at (0.5000, 0.5000, 0.5000) and S at (0.0000, 0.5000, 0.5000).

---

DFT (GGA-PBEsol) results for HfSiS after structural relaxation.

The formation energy without anion corrections is -1.2604 eV/atom.

It has space group P4/nmm (No. 129, origin choice 2), with a = 3.4980 Å, b = 3.4980 Å, c = 7.9133 Å, α = 90.00°, β = 90.00° and γ = 90.00°. The inequivalent atoms are Hf at (0.2500, 0.2500, 0.2294), Si at (0.2500, 0.7500, 0.5000) and S at (0.2500, 0.2500, 0.8810).

---

DFT (GGA-PBEsol) results for Hf2Si2S after structural relaxation.

The formation energy without anion corrections is -0.7966 eV/atom.

It has space group P4/mbm (No. 127), with a = 6.8560 Å, b = 6.8560 Å, c = 3.7269 Å, α = 90.00°, β = 90.00° and γ = 90.00°. The inequivalent atoms are Hf at (0.1780, 0.3220, 0.0000), Si at (0.1194, 0.6194, 0.5000) and S at (0.0000, 0.0000, 0.0000).

---

DFT (GGA-PBEsol) results for Sm2HfS5 after structural relaxation.

The formation energy without anion corrections is -1.9764 eV/atom.

It has space group Pnma (No. 62), with a = 11.3504 Å, b = 7.8219 Å, c = 7.2149 Å, α = 90.00°, β = 90.00° and γ = 90.00°. The inequivalent atoms are Sm at (0.1761, 0.0015, 0.0366), Hf at (0.0081, 0.7500, 0.5753), S at (0.0043, 0.7500, 0.9453), S at (0.0853, 0.0377, 0.6677), S at (0.1847, 0.7500, 0.3422) and S at (0.2080, 0.2500, 0.3216).

---

DFT (GGA-PBEsol) results for SrHfS3 after structural relaxation.

The formation energy without anion corrections is -1.8567 eV/atom.

It has space group Pnma (No. 62), with a = 7.0274 Å, b = 9.6506 Å, c = 6.6433 Å, α = 90.00°, β = 90.00° and γ = 90.00°. The inequivalent atoms are Sr at (0.0807, 0.2500, 0.0252), Hf at (0.0000, 0.0000, 0.5000), S at (0.0157, 0.7500, 0.4058) and S at (0.1962, 0.5480, 0.8087).

---

DFT (GGA-PBEsol) results for Sr2HfS after structural relaxation.

The formation energy without anion corrections is 0.3179 eV/atom.

It has space group Fm-3m (No. 225), with a = 7.7517 Å, b = 7.7517 Å, c = 7.7517 Å, α = 90.00°, β = 90.00° and γ = 90.00°. The inequivalent atoms are Sr at (0.2500, 0.2500, 0.2500), Hf at (0.0000, 0.0000, 0.0000) and S at (0.0000, 0.0000, 0.5000).

---

DFT (GGA-PBEsol) results for SrHf3S after structural relaxation.

The formation energy without anion corrections is 2.1891 eV/atom.

It has space group Pm-3m (No. 221), with a = 5.0432 Å, b = 5.0432 Å, c = 5.0432 Å, α = 90.00°, β = 90.00° and γ = 90.00°. The inequivalent atoms are Sr at (0.0000, 0.0000, 0.0000), Hf at (0.0000, 0.0000, 0.5000) and S at (0.5000, 0.5000, 0.5000).

---

DFT (GGA-PBEsol) results for Tb2HfS5 after structural relaxation.

The formation energy without anion corrections is -1.9732 eV/atom.

It has space group Pnma (No. 62), with a = 11.3361 Å, b = 7.6792 Å, c = 7.1554 Å, α = 90.00°, β = 90.00° and γ = 90.00°. The inequivalent atoms are Tb at (0.1778, 0.0023, 0.0279), Hf at (0.0070, 0.7500, 0.5766), S at (0.0035, 0.7500, 0.9481), S at (0.0909, 0.0384, 0.6642), S at (0.1825, 0.7500, 0.3350) and S at (0.2085, 0.2500, 0.3136).

---

What is the formula in the first record?
Hf2TlRu